The following is a DFT calculation (GGA-PBE) of a relaxed structure of CsUHgSe3.

Geometry as POSCAR:
```
CsUHgSe3
1.0
-6.992 0.061 1.734
-1.297 -5.918 4.674
1.149 2.228 9.404
U Hg Se Cs
2 2 6 2
Direct
0.750 0.053 0.893
0.250 0.947 0.107
0.750 0.393 0.214
0.250 0.607 0.786
0.250 0.801 0.399
0.515 0.823 0.914
0.485 0.177 0.086
0.015 0.736 0.086
0.750 0.199 0.601
0.985 0.264 0.914
0.250 0.261 0.478
0.750 0.739 0.522
```

Values from the calculation:
energy relative to the elements, uncorrected	-4.93	eV per formula unit

The following is a DFT calculation (GGA-PBE) of a relaxed structure of PuCu4Pb.

Geometry as POSCAR:
```
PuCu4Pb
1.0
5.245 0.000 0.000
2.623 4.543 0.000
2.623 1.514 4.283
Pb Cu Pu
1 4 1
Direct
0.000 0.000 0.000
0.126 0.625 0.625
0.625 0.625 0.126
0.625 0.625 0.625
0.625 0.126 0.625
0.250 0.250 0.250
```

Values from the calculation:
formation enthalpy at 0 K	6	kJ/mol of formula units

The following is a DFT calculation (GGA-PBE) of a relaxed structure of NaEuP4O12.

Geometry as POSCAR:
```
NaEuP4O12
1.0
-3.672 6.313 0.403
-6.474 -3.414 -6.878
-7.655 -5.073 9.724
P Na O Eu
16 4 48 4
Direct
0.232 0.297 0.091
0.854 0.697 0.127
0.268 0.203 0.591
0.354 0.197 0.373
0.750 0.258 0.399
0.623 0.234 0.114
0.250 0.742 0.601
0.123 0.734 0.386
0.877 0.266 0.614
0.146 0.303 0.873
0.646 0.803 0.627
0.750 0.242 0.899
0.250 0.758 0.101
0.768 0.703 0.909
0.732 0.797 0.409
0.377 0.766 0.886
0.498 0.064 0.777
0.002 0.436 0.277
0.502 0.936 0.223
0.998 0.564 0.723
0.680 0.656 0.635
0.716 0.896 0.706
0.414 0.208 0.080
0.595 0.296 0.837
0.914 0.708 0.420
0.304 0.898 0.852
0.715 0.405 0.388
0.696 0.102 0.148
0.215 0.905 0.112
0.820 0.844 0.135
0.405 0.704 0.163
0.924 0.796 0.888
0.214 0.360 0.980
0.285 0.595 0.612
0.905 0.204 0.337
0.239 0.087 0.660
0.261 0.413 0.160
0.739 0.587 0.840
0.586 0.792 0.920
0.424 0.296 0.612
0.719 0.284 0.013
0.136 0.849 0.314
0.281 0.716 0.987
0.072 0.669 0.123
0.761 0.913 0.340
0.804 0.398 0.648
0.784 0.604 0.206
0.636 0.349 0.186
0.785 0.095 0.888
0.781 0.216 0.513
0.216 0.396 0.794
0.320 0.344 0.365
0.714 0.860 0.520
0.364 0.651 0.814
0.576 0.704 0.388
0.786 0.640 0.020
0.076 0.204 0.112
0.572 0.169 0.377
0.428 0.831 0.623
0.196 0.602 0.352
0.864 0.151 0.686
0.928 0.331 0.877
0.095 0.796 0.663
0.180 0.156 0.865
0.284 0.104 0.294
0.086 0.292 0.580
0.219 0.784 0.487
0.286 0.140 0.480
0.012 0.978 0.778
0.512 0.478 0.722
0.988 0.022 0.222
0.488 0.522 0.278
```

Values from the calculation:
energy relative to the elements, uncorrected	-41.58	eV per formula unit

Number 1: V 39.2 Å³/atom, mass density 5.7 Mg/m³. Number 2: V 17.0 Å³/atom, mass density 11.5 Mg/m³. Number 3: V 13.6 Å³/atom, mass density 3.3 Mg/m³.